The following is a GGA-PBE calculation of Ca2HPdPb after structural relaxation, from Alexandria via LeMat-Bulk.

The magnetic moment comes out at 0.00 μB per formula unit. As for the crystal system: tetragonal. The value obtained for the total energy is -0.14037 Ha/atom.

a = 5.3133 Å, b = 5.3133 Å, c = 3.7253 Å
α = 90.00°, β = 90.00°, γ = 90.00°
Space group P4/mmm (No. 123)
Symmetry-distinct sites (fractional):
Ca1 0.0000 0.5000 0.0000
H1 0.0000 0.0000 0.0000
Pd1 0.0000 0.0000 0.5000
Pb1 0.5000 0.5000 0.5000

The following is a GGA-PBE calculation of Zn6NiAu2 after structural relaxation, from Alexandria via LeMat-Bulk.

The magnetic moment comes out at 0.00 μB per formula unit. As for the crystal system: monoclinic. The formation enthalpy at 0 K is -0.16 eV per atom.

a = 8.9915 Å, b = 3.7869 Å, c = 8.3712 Å
α = 90.00°, β = 110.52°, γ = 90.00°
Space group C2/m (No. 12)
Symmetry-distinct sites (fractional):
Zn1 0.9997 0.0000 0.1754
Zn2 0.1508 0.5000 0.7040
Zn3 0.1681 0.5000 0.4004
Ni1 0.0000 0.0000 0.5000
Au1 0.1728 0.5000 0.0782

The following is a GGA-PBE calculation of NaSn2Hg3 after structural relaxation, from Alexandria via LeMat-Bulk.

The magnetic moment comes out at 0.00 μB per formula unit. As for the crystal system: orthorhombic. The formation enthalpy at 0 K is -0.06 eV per atom.

a = 5.1984 Å, b = 15.7605 Å, c = 3.7737 Å
α = 90.00°, β = 90.00°, γ = 90.00°
Space group Pmmn (No. 59, origin choice 2)
Symmetry-distinct sites (fractional):
Na1 0.2500 0.2500 0.0007
Sn1 0.2500 0.5859 0.9993
Hg1 0.2500 0.0833 0.5004
Hg2 0.2500 0.7500 0.4996

The following is a GGA-PBE calculation of PmTmBeZn after structural relaxation, from Alexandria via LeMat-Bulk.

The magnetic moment comes out at 0.00 μB per formula unit. As for the crystal system: cubic. The formation enthalpy at 0 K is -0.08 eV per atom.

a = 7.0373 Å, b = 7.0373 Å, c = 7.0373 Å
α = 90.00°, β = 90.00°, γ = 90.00°
Space group F-43m (No. 216)
Symmetry-distinct sites (fractional):
Pm1 0.0000 0.0000 0.0000
Tm1 0.0000 0.0000 0.5000
Be1 0.2500 0.2500 0.7500
Zn1 0.2500 0.2500 0.2500

The following is a GGA-PBE calculation of YAlNi2 after structural relaxation, from Alexandria via LeMat-Bulk.

The magnetic moment comes out at 0.00 μB per formula unit. As for the crystal system: orthorhombic. The formation enthalpy at 0 K is -0.40 eV per atom.

a = 4.0424 Å, b = 3.4544 Å, c = 9.4784 Å
α = 90.00°, β = 90.00°, γ = 90.00°
Space group Amm2 (No. 38)
Symmetry-distinct sites (fractional):
Y1 0.0000 0.0000 0.0000
Al1 0.5000 0.0000 0.7100
Ni1 0.0000 0.0000 0.2712
Ni2 0.5000 0.0000 0.4146

The following is a GGA-PBE calculation of MgReAu2 after structural relaxation, from Alexandria via LeMat-Bulk.

The magnetic moment comes out at 0.00 μB per formula unit. As for the crystal system: orthorhombic. The formation enthalpy at 0 K is 0.15 eV per atom.

a = 2.9061 Å, b = 4.7569 Å, c = 4.8694 Å
α = 90.00°, β = 90.00°, γ = 90.00°
Space group Pmm2 (No. 25)
Symmetry-distinct sites (fractional):
Mg1 0.0000 0.0000 0.0000
Re1 0.0000 0.5000 0.5929
Au1 0.5000 0.0000 0.5090
Au2 0.5000 0.5000 0.0979

The following is a GGA-PBE calculation of LiTePt2 after structural relaxation, from Alexandria via LeMat-Bulk.

The formation energy (no corrections) comes out at -0.2705 eV/atom. The magnetic moment comes out at 0.00 μB per formula unit. As for the crystal system: tetragonal.

a = 4.0312 Å, b = 4.0312 Å, c = 17.8546 Å
α = 90.00°, β = 90.00°, γ = 90.00°
Space group I-42d (No. 122)
Symmetry-distinct sites (fractional):
Li1 0.0000 0.0000 0.0000
Te1 0.0000 0.0000 0.5000
Pt1 0.2456 0.2500 0.1250

The following is a GGA-PBE calculation of LiNbO2 after structural relaxation, from Alexandria via LeMat-Bulk.

The formation energy (no corrections) comes out at -1.6084 eV/atom. The magnetic moment comes out at 2.00 μB per formula unit. As for the crystal system: cubic.

a = 5.3168 Å, b = 5.3168 Å, c = 5.3168 Å
α = 90.00°, β = 90.00°, γ = 90.00°
Space group Fm-3m (No. 225)
Symmetry-distinct sites (fractional):
Li1 0.0000 0.0000 0.0000
Nb1 0.0000 0.0000 0.5000
O1 0.2500 0.2500 0.2500

The following is a GGA-PBE calculation of LaCe2In after structural relaxation, from Alexandria via LeMat-Bulk.

The magnetic moment comes out at 3.71 μB per formula unit. As for the crystal system: cubic. The formation enthalpy at 0 K is -0.04 eV per atom.

a = 7.7697 Å, b = 7.7697 Å, c = 7.7697 Å
α = 90.00°, β = 90.00°, γ = 90.00°
Space group Fm-3m (No. 225)
Symmetry-distinct sites (fractional):
La1 0.0000 0.0000 0.0000
Ce1 0.2500 0.2500 0.2500
In1 0.0000 0.0000 0.5000

The following is a GGA-PBE calculation of La2In2Cu after structural relaxation, from Alexandria via LeMat-Bulk.

The magnetic moment comes out at 0.00 μB per formula unit. As for the crystal system: monoclinic. The formation enthalpy at 0 K is -0.39 eV per atom.

a = 11.2668 Å, b = 4.8016 Å, c = 11.6833 Å
α = 90.00°, β = 118.30°, γ = 90.00°
Space group C2/m (No. 12)
Symmetry-distinct sites (fractional):
La1 0.0151 0.0000 0.3355
La2 0.1841 0.0000 0.1099
In1 0.0182 0.5000 0.8788
In2 0.1512 0.5000 0.5626
Cu1 0.2240 0.5000 0.3484

The following is a GGA-PBE calculation of Ho3Ga3Pt after structural relaxation, from Alexandria via LeMat-Bulk.

The magnetic moment comes out at 0.00 μB per formula unit. As for the crystal system: monoclinic. The formation enthalpy at 0 K is -0.83 eV per atom.

a = 10.6440 Å, b = 4.3180 Å, c = 14.2215 Å
α = 90.00°, β = 109.54°, γ = 90.00°
Space group C2/m (No. 12)
Symmetry-distinct sites (fractional):
Ho1 0.0297 0.0000 0.3804
Ho2 0.1064 0.0000 0.9248
Ho3 0.2381 0.0000 0.2340
Ga1 0.0247 0.5000 0.2286
Ga2 0.1099 0.5000 0.0757
Ga3 0.1376 0.5000 0.5359
Pt1 0.2471 0.5000 0.3852

The following is a GGA-PBE calculation of AlCd3 after structural relaxation, from Alexandria via LeMat-Bulk.

The magnetic moment comes out at 0.00 μB per formula unit. As for the crystal system: tetragonal. The formation enthalpy at 0 K is 0.16 eV per atom.

a = 4.9162 Å, b = 4.9162 Å, c = 3.6685 Å
α = 90.00°, β = 90.00°, γ = 90.00°
Space group P4/mmm (No. 123)
Symmetry-distinct sites (fractional):
Al1 0.0000 0.0000 0.0000
Cd1 0.0000 0.5000 0.5000
Cd2 0.5000 0.5000 0.0000

The following is a GGA-PBE calculation of Tb3Pu4Se8 after structural relaxation, from Alexandria via LeMat-Bulk.

The formation energy (no corrections) comes out at -1.6617 eV/atom. The magnetic moment comes out at 11.32 μB per formula unit. As for the crystal system: monoclinic.

a = 11.6327 Å, b = 11.6233 Å, c = 8.2041 Å
α = 90.00°, β = 134.84°, γ = 90.00°
Space group C2/m (No. 12)
Symmetry-distinct sites (fractional):
Tb1 0.0000 0.0000 0.0000
Tb2 0.2500 0.2500 0.5000
Pu1 0.0000 0.0000 0.5000
Pu2 0.0000 0.5000 0.0000
Pu3 0.2500 0.2500 0.0000
Se1 0.0000 0.2488 0.0000
Se2 0.0000 0.2525 0.5000
Se3 0.2468 0.5000 0.5030
Se4 0.2495 0.0000 0.0036